Arrangement P

## YAlBi3 (PBE-GGA)

Data for a relaxed YAlBi3 crystal.

Lattice parameters (Å, degrees): 5.4532 5.4532 5.4532 90.00 90.00 90.00
Closest atoms and distances in Å follow each position.
Fractional positions:
Y 0.0000 0.0000 0.0000  12 Bi 3.86
Al 0.5000 0.5000 0.5000  6 Bi 2.73
Bi 0.0000 0.5000 0.5000  2 Al 2.73
Bi 0.5000 0.0000 0.5000  2 Al 2.73
Bi 0.5000 0.5000 0.0000  2 Al 2.73

---

Arrangement Q

## YAlBi3 (PBE-GGA)

Data for a relaxed YAlBi3 crystal.

Lattice parameters (Å, degrees): 5.8946 5.8946 5.8946 90.00 90.00 90.00
Closest atoms and distances in Å follow each position.
Fractional positions:
Y 0.0000 0.0000 0.0000  6 Bi 2.95
Al 0.5000 0.5000 0.5000  12 Bi 4.17
Bi 0.0000 0.0000 0.5000  2 Y 2.95
Bi 0.0000 0.5000 0.0000  2 Y 2.95
Bi 0.5000 0.0000 0.0000  2 Y 2.95

---

Which one sits at the bottom of the stability order? arrangement Q does.

---

Arrangement P

## Y2AlBi2 (PBE-GGA)

Data for a relaxed Y2AlBi2 crystal.

Lattice parameters (Å, degrees): 7.4287 7.4287 7.4287 138.57 138.57 60.04
Closest atoms and distances in Å follow each position.
Fractional positions:
Y 0.2500 0.7500 0.5000  4 Bi 3.10
Y 0.7500 0.2500 0.5000  4 Bi 3.10
Al 0.0000 0.0000 0.0000  8 Bi 4.04, 8 Y 4.15
Bi 0.3771 0.3771 0.0000  4 Y 3.10, 1 Bi 3.16
Bi 0.6229 0.6229 0.0000  4 Y 3.10, 1 Bi 3.16

---

Arrangement Q

## Y2AlBi2 (PBE-GGA)

Data for a relaxed Y2AlBi2 crystal.

Lattice parameters (Å, degrees): 8.8412 8.8412 8.8412 151.56 151.56 40.65
Closest atoms and distances in Å follow each position.
Fractional positions:
Y 0.1011 0.1011 0.0000  4 Bi 3.29, 1 Y 3.35, 4 Al 3.50
Y 0.8989 0.8989 0.0000  4 Bi 3.29, 1 Y 3.35, 4 Al 3.50
Al 0.5000 0.5000 0.0000  8 Y 3.50
Bi 0.2500 0.7500 0.5000  4 Bi 3.07, 4 Y 3.29
Bi 0.7500 0.2500 0.5000  4 Bi 3.07, 4 Y 3.29

---

Arrangement R

## Y2AlBi2 (PBE-GGA)

Data for a relaxed Y2AlBi2 crystal.

Lattice parameters (Å, degrees): 8.3286 8.3286 4.1810 90.00 90.00 90.00
Closest atoms and distances in Å follow each position.
Fractional positions:
Y 0.1559 0.3441 0.0000  6 Bi 3.10-3.29
Y 0.3441 0.8441 0.0000  6 Bi 3.10-3.29
Y 0.6559 0.1559 0.0000  6 Bi 3.10-3.29
Y 0.8441 0.6559 0.0000  6 Bi 3.10-3.29
Al 0.0000 0.0000 0.5000  4 Bi 3.17
Al 0.5000 0.5000 0.5000  4 Bi 3.17
Bi 0.1494 0.6494 0.5000  6 Y 3.10-3.29, 2 Al 3.17
Bi 0.3506 0.1494 0.5000  6 Y 3.10-3.29, 2 Al 3.17
Bi 0.6494 0.8506 0.5000  6 Y 3.10-3.29, 2 Al 3.17
Bi 0.8506 0.3506 0.5000  6 Y 3.10-3.29, 2 Al 3.17

---

Arrangement S

## Y2AlBi2 (PBE-GGA)

Data for a relaxed Y2AlBi2 crystal.

Lattice parameters (Å, degrees): 8.2519 8.2519 4.2734 90.00 90.00 90.00
Closest atoms and distances in Å follow each position.
Fractional positions:
Y 0.1515 0.3485 0.0000  6 Bi 3.07-3.34, 2 Al 3.14
Y 0.3485 0.8485 0.0000  6 Bi 3.07-3.34, 2 Al 3.14
Y 0.6515 0.1515 0.0000  6 Bi 3.07-3.34, 2 Al 3.14
Y 0.8485 0.6515 0.0000  6 Bi 3.07-3.34, 2 Al 3.14
Al 0.0000 0.0000 0.0000  4 Y 3.14
Al 0.5000 0.5000 0.0000  4 Y 3.14
Bi 0.1590 0.6590 0.5000  6 Y 3.07-3.34
Bi 0.3410 0.1590 0.5000  6 Y 3.07-3.34
Bi 0.6590 0.8410 0.5000  6 Y 3.07-3.34
Bi 0.8410 0.3410 0.5000  6 Y 3.07-3.34

---

Which one sits at the bottom of the stability order? arrangement P does.

---

Arrangement P

## Y2AlBi (PBE-GGA)

Data for a relaxed Y2AlBi crystal.

Lattice parameters (Å, degrees): 5.3562 5.3562 5.3562 60.00 60.00 60.00
Closest atoms and distances in Å follow each position.
Fractional positions:
Y 0.2500 0.2500 0.2500  4 Bi 3.28, 4 Al 3.28
Y 0.7500 0.7500 0.7500  4 Bi 3.28, 4 Al 3.28
Al 0.0000 0.0000 0.0000  8 Y 3.28
Bi 0.5000 0.5000 0.5000  8 Y 3.28

---

Arrangement Q

## Y2AlBi (PBE-GGA)

Data for a relaxed Y2AlBi crystal.

Lattice parameters (Å, degrees): 6.7425 6.7425 6.7425 104.89 104.89 119.08
Closest atoms and distances in Å follow each position.
Fractional positions:
Y 0.1160 0.1250 0.4910  2 Al 2.98, 2 Bi 3.08
Y 0.3750 0.8840 0.0090  2 Al 2.98, 2 Bi 3.08
Y 0.6340 0.6250 0.5090  2 Al 2.98, 2 Bi 3.08
Y 0.8750 0.3660 0.9910  2 Al 2.98, 2 Bi 3.08
Al 0.0000 0.0000 0.0000  4 Y 2.98
Al 0.7500 0.2500 0.5000  4 Y 2.98
Bi 0.2500 0.7500 0.5000  4 Y 3.08, 2 Al 3.42
Bi 0.5000 0.5000 0.0000  4 Y 3.08, 2 Al 3.42

---

Which one sits at the bottom of the stability order? arrangement Q does.

---

Arrangement P

## AlZnBi2 (PBE-GGA)

Data for a relaxed AlZnBi2 crystal.

Lattice parameters (Å, degrees): 7.7443 7.7443 7.7443 130.55 130.55 72.52
Closest atoms and distances in Å follow each position.
Fractional positions:
Al 0.0000 0.0000 0.0000  4 Bi 2.79
Al 0.7500 0.2500 0.5000  4 Bi 2.79
Zn 0.2500 0.7500 0.5000  4 Bi 2.75
Zn 0.5000 0.5000 0.0000  4 Bi 2.75
Bi 0.1299 0.6250 0.0049  2 Zn 2.75, 2 Al 2.79
Bi 0.3750 0.3799 0.5049  2 Zn 2.75, 2 Al 2.79
Bi 0.6201 0.1250 0.9951  2 Zn 2.75, 2 Al 2.79
Bi 0.8750 0.8701 0.4951  2 Zn 2.75, 2 Al 2.79

---

Arrangement Q

## AlZnBi2 (PBE-GGA)

Data for a relaxed AlZnBi2 crystal.

Lattice parameters (Å, degrees): 5.2051 5.2051 5.2051 60.00 60.00 60.00
Closest atoms and distances in Å follow each position.
Fractional positions:
Al 0.0000 0.0000 0.0000  8 Bi 3.19
Zn 0.5000 0.5000 0.5000  8 Bi 3.19
Bi 0.2500 0.2500 0.2500  4 Al 3.19, 4 Zn 3.19
Bi 0.7500 0.7500 0.7500  4 Zn 3.19, 4 Al 3.19

---

Arrangement R

## AlZnBi2 (PBE-GGA)

Data for a relaxed AlZnBi2 crystal.

Lattice parameters (Å, degrees): 11.0413 11.0413 11.0413 18.33 18.33 18.33
Closest atoms and distances in Å follow each position.
Fractional positions:
Al 0.0000 0.0000 0.0000  6 Bi 3.00
Zn 0.5000 0.5000 0.5000  2 Bi 3.21, 6 Zn 3.52
Bi 0.4013 0.4013 0.4013  3 Al 3.00, 1 Zn 3.21
Bi 0.5987 0.5987 0.5987  3 Al 3.00, 1 Zn 3.21

---

Which one sits at the bottom of the stability order? arrangement R does.

---

Arrangement P

## Al3ZnBi (PBE-GGA)

Data for a relaxed Al3ZnBi crystal.

Lattice parameters (Å, degrees): 4.8421 4.8421 4.8421 90.00 90.00 90.00
Closest atoms and distances in Å follow each position.
Fractional positions:
Al 0.0000 0.0000 0.5000  2 Zn 2.42
Al 0.0000 0.5000 0.0000  2 Zn 2.42
Al 0.5000 0.0000 0.0000  2 Zn 2.42
Zn 0.0000 0.0000 0.0000  6 Al 2.42
Bi 0.5000 0.5000 0.5000  12 Al 3.42

---

Arrangement Q

## Al3ZnBi (PBE-GGA)

Data for a relaxed Al3ZnBi crystal.

Lattice parameters (Å, degrees): 5.6380 5.6380 5.6380 90.00 90.00 90.00
Closest atoms and distances in Å follow each position.
Fractional positions:
Al 0.0000 0.0000 0.5000  2 Bi 2.82
Al 0.0000 0.5000 0.0000  2 Bi 2.82
Al 0.5000 0.0000 0.0000  2 Bi 2.82
Zn 0.5000 0.5000 0.5000  12 Al 3.99
Bi 0.0000 0.0000 0.0000  6 Al 2.82

---

Which one sits at the bottom of the stability order? arrangement Q does.

---

Arrangement P

## ZrAl2Bi2 (PBE-GGA)

Data for a relaxed ZrAl2Bi2 crystal.

Lattice parameters (Å, degrees): 9.0711 9.0711 9.0711 155.68 155.68 34.67
Closest atoms and distances in Å follow each position.
Fractional positions:
Zr 0.0000 0.0000 0.0000  8 Bi 3.18
Al 0.2500 0.7500 0.5000  4 Al 2.70
Al 0.7500 0.2500 0.5000  4 Al 2.70
Bi 0.4034 0.4034 0.0000  4 Zr 3.18, 4 Al 3.27, 1 Bi 3.35
Bi 0.5966 0.5966 0.0000  4 Zr 3.18, 4 Al 3.27, 1 Bi 3.35

---

Arrangement Q

## ZrAl2Bi2 (PBE-GGA)

Data for a relaxed ZrAl2Bi2 crystal.

Lattice parameters (Å, degrees): 7.8162 7.8162 4.1076 90.00 90.00 90.00
Closest atoms and distances in Å follow each position.
Fractional positions:
Zr 0.0000 0.0000 0.0000  4 Bi 2.97
Zr 0.5000 0.5000 0.0000  4 Bi 2.97
Al 0.1524 0.3476 0.5000  6 Bi 2.98-3.15
Al 0.3476 0.8476 0.5000  6 Bi 2.98-3.15
Al 0.6524 0.1524 0.5000  6 Bi 2.98-3.15
Al 0.8476 0.6524 0.5000  6 Bi 2.98-3.15
Bi 0.1528 0.6528 0.0000  2 Zr 2.97, 6 Al 2.98-3.15
Bi 0.3472 0.1528 0.0000  2 Zr 2.97, 6 Al 2.98-3.15
Bi 0.6528 0.8472 0.0000  2 Zr 2.97, 6 Al 2.98-3.15
Bi 0.8472 0.3472 0.0000  2 Zr 2.97, 6 Al 2.98-3.15

---

Which one sits at the bottom of the stability order? arrangement Q does.

---

Arrangement P

## Al4Br5 (PBE-GGA)

Data for a relaxed Al4Br5 crystal.

Lattice parameters (Å, degrees): 6.8799 6.8799 6.8799 104.18 104.18 120.66
Closest atoms and distances in Å follow each position.
Fractional positions:
Al 0.0000 0.3452 0.3452  2 Br 2.57, 1 Al 2.62
Al 0.0000 0.6548 0.6548  2 Br 2.57, 1 Al 2.62
Al 0.3452 0.0000 0.3452  2 Br 2.57, 1 Al 2.62
Al 0.6548 0.0000 0.6548  2 Br 2.57, 1 Al 2.62
Br 0.0000 0.0000 0.0000  4 Al 2.92
Br 0.3007 0.3007 0.6014  2 Al 2.57
Br 0.3007 0.6993 0.0000  2 Al 2.57
Br 0.6993 0.3007 0.0000  2 Al 2.57
Br 0.6993 0.6993 0.3986  2 Al 2.57

---

Arrangement Q

## Al4Br5 (PBE-GGA)

Data for a relaxed Al4Br5 crystal.

Lattice parameters (Å, degrees): 9.2689 9.2689 6.8890 90.00 90.00 120.00
Closest atoms and distances in Å follow each position.
Fractional positions:
Al 0.0000 0.0000 0.0000  6 Br 2.70
Al 0.0000 0.0000 0.5000  6 Br 2.70
Al 0.0000 0.4688 0.2500  1 Br 2.84
Al 0.0000 0.5312 0.7500  1 Br 2.84
Al 0.4688 0.0000 0.2500  1 Br 2.84
Al 0.4688 0.4688 0.7500  1 Br 2.84
Al 0.5312 0.0000 0.7500  1 Br 2.84
Al 0.5312 0.5312 0.2500  1 Br 2.84
Br 0.0000 0.2245 0.7500  3 Al 2.70-2.84
Br 0.0000 0.7755 0.2500  3 Al 2.70-2.84
Br 0.2245 0.0000 0.7500  3 Al 2.70-2.84
Br 0.2245 0.2245 0.2500  3 Al 2.70-2.84
Br 0.3333 0.6667 0.0000  6 Al 3.20, 2 Br 3.44
Br 0.3333 0.6667 0.5000  6 Al 3.20, 2 Br 3.44
Br 0.6667 0.3333 0.0000  6 Al 3.20, 2 Br 3.44
Br 0.6667 0.3333 0.5000  6 Al 3.20, 2 Br 3.44
Br 0.7755 0.0000 0.2500  3 Al 2.70-2.84
Br 0.7755 0.7755 0.7500  3 Al 2.70-2.84

---

Which one sits at the bottom of the stability order? arrangement P does.

---

Arrangement P

## AlBr2 (PBE-GGA)

Data for a relaxed AlBr2 crystal.

Lattice parameters (Å, degrees): 12.1973 12.1973 4.8671 90.00 90.00 162.04
Closest atoms and distances in Å follow each position.
Fractional positions:
Al 0.1492 0.8508 0.7500  4 Br 2.55
Al 0.8508 0.1492 0.2500  4 Br 2.55
Br 0.1809 0.8191 0.2500  2 Al 2.55
Br 0.4214 0.5786 0.2500  2 Al 2.55
Br 0.5786 0.4214 0.7500  2 Al 2.55
Br 0.8191 0.1809 0.7500  2 Al 2.55

---

Arrangement Q

## AlBr2 (PBE-GGA)

Data for a relaxed AlBr2 crystal.

Lattice parameters (Å, degrees): 6.2865 6.2865 9.6862 124.01 124.01 34.91
Closest atoms and distances in Å follow each position.
Fractional positions:
Al 0.0686 0.0686 0.4304  5 Br 2.57-2.77, 1 Al 2.67
Al 0.9314 0.9314 0.5696  5 Br 2.57-2.77, 1 Al 2.67
Br 0.2407 0.2407 0.3461  3 Al 2.63-2.77
Br 0.4469 0.4469 0.2093  2 Al 2.57
Br 0.5531 0.5531 0.7907  2 Al 2.57
Br 0.7593 0.7593 0.6539  3 Al 2.63-2.77

---

Which one sits at the bottom of the stability order? arrangement P does.

---

Arrangement P

## AlBr2 (PBE-GGA)

Data for a relaxed AlBr2 crystal.

Lattice parameters (Å, degrees): 5.2269 5.2269 3.8046 90.00 90.00 120.00
Closest atoms and distances in Å follow each position.
Fractional positions:
Al 0.0000 0.0000 0.0000  12 Br 3.57, 2 Al 3.80
Br 0.3333 0.6667 0.5000  3 Br 3.02
Br 0.6667 0.3333 0.5000  3 Br 3.02

---

Arrangement Q

## AlBr2 (PBE-GGA)

Data for a relaxed AlBr2 crystal.

Lattice parameters (Å, degrees): 5.7784 5.7784 5.7784 109.61 109.61 109.19
Closest atoms and distances in Å follow each position.
Fractional positions:
Al 0.2500 0.2500 0.0000  8 Br 2.93
Al 0.7500 0.7500 0.0000  8 Br 2.93
Br 0.1955 0.6955 0.8909  4 Al 2.93
Br 0.3045 0.1955 0.5000  4 Al 2.93
Br 0.6955 0.8045 0.5000  4 Al 2.93
Br 0.8045 0.3045 0.1091  4 Al 2.93

---

Arrangement R

## AlBr2 (PBE-GGA)

Data for a relaxed AlBr2 crystal.

Lattice parameters (Å, degrees): 6.5915 6.5915 3.8453 90.00 90.00 90.00
Closest atoms and distances in Å follow each position.
Fractional positions:
Al 0.0000 0.0000 0.0000  6 Br 2.70-2.75
Al 0.5000 0.5000 0.5000  6 Br 2.70-2.75
Br 0.2106 0.2106 0.5000  3 Al 2.70-2.75
Br 0.2894 0.7106 0.0000  3 Al 2.70-2.75
Br 0.7106 0.2894 0.0000  3 Al 2.70-2.75
Br 0.7894 0.7894 0.5000  3 Al 2.70-2.75

---

Arrangement S

## AlBr2 (PBE-GGA)

Data for a relaxed AlBr2 crystal.

Lattice parameters (Å, degrees): 7.9191 7.9191 8.3992 104.24 104.24 24.96
Closest atoms and distances in Å follow each position.
Fractional positions:
Al 0.0000 0.0000 0.0000  2 Br 2.58
Al 0.2319 0.2319 0.5365  6 Br 2.56-2.60
Br 0.3941 0.3941 0.0826  2 Al 2.58
Br 0.6653 0.6653 0.6993  2 Al 2.56
Br 0.6722 0.6722 0.3029  2 Al 2.59
Br 0.8625 0.8625 0.5997  2 Al 2.60

---

Which one sits at the bottom of the stability order? arrangement P does.

---

Arrangement P

## AlBr2 (PBE-GGA)

Data for a relaxed AlBr2 crystal.

Lattice parameters (Å, degrees): 13.1436 3.7975 7.1293 90.00 90.00 90.00
Closest atoms and distances in Å follow each position.
Fractional positions:
Al 0.1333 0.2500 0.0381  6 Br 2.62-2.81
Al 0.3667 0.7500 0.5381  6 Br 2.62-2.81
Al 0.6333 0.2500 0.4619  6 Br 2.62-2.81
Al 0.8667 0.7500 0.9619  6 Br 2.62-2.81
Br 0.0092 0.7500 0.2183  3 Al 2.62-2.81
Br 0.2396 0.7500 0.8544  3 Al 2.70-2.81
Br 0.2604 0.2500 0.3544  3 Al 2.70-2.81
Br 0.4908 0.2500 0.7183  3 Al 2.62-2.81
Br 0.5092 0.7500 0.2817  3 Al 2.62-2.81
Br 0.7396 0.7500 0.6456  3 Al 2.70-2.81
Br 0.7604 0.2500 0.1456  3 Al 2.70-2.81
Br 0.9908 0.2500 0.7817  3 Al 2.62-2.81

---

Arrangement Q

## AlBr2 (PBE-GGA)

Data for a relaxed AlBr2 crystal.

Lattice parameters (Å, degrees): 4.5856 4.5856 9.1231 90.00 90.00 120.00
Closest atoms and distances in Å follow each position.
Fractional positions:
Al 0.3333 0.6667 0.2500  3 Br 2.65
Al 0.6667 0.3333 0.7500  3 Br 2.65
Br 0.0000 0.0000 0.0000  6 Al 3.49, 6 Br 3.49
Br 0.0000 0.0000 0.5000  6 Br 3.49, 6 Al 3.49
Br 0.3333 0.6667 0.7500  3 Al 2.65
Br 0.6667 0.3333 0.2500  3 Al 2.65

---

Which one sits at the bottom of the stability order? arrangement Q does.